# 1
A geometry-optimized LiScIn2 structure, computed with PBE-GGA.

Raw total energy: -14.63 eV for the cell shown
ΔH_f (0 K): -227 meV/atom

abc: 5.5068 5.5068 5.5068
angles: 132.94 132.94 68.75
Last column: nearest neighbours and their distance in Å.
Atoms (fractional coordinates):
1 In 0.0000 0.0000 0.0000  4 Li 3.11, 4 In 3.16, 4 Sc 3.16
2 In 0.2500 0.7500 0.5000  4 Sc 3.11, 4 Li 3.16, 4 In 3.16
3 Li 0.5000 0.5000 0.0000  8 In 3.11-3.16, 4 Sc 3.16
4 Sc 0.7500 0.2500 0.5000  8 In 3.11-3.16, 4 Li 3.16

***

# 2
A geometry-optimized LiScIn2 structure, computed with PBE-GGA.

Raw total energy: -14.68 eV for the cell shown
ΔH_f (0 K): -239 meV/atom

abc: 5.8410 5.8410 5.0841
angles: 70.76 70.76 33.82
Last column: nearest neighbours and their distance in Å.
Atoms (fractional coordinates):
1 In 0.9941 0.9941 0.9428  4 Li 3.02-3.10, 3 Sc 3.11-3.13, 2 In 3.15
2 In 0.2570 0.2570 0.3057  4 Sc 3.03-3.10, 3 Li 3.12, 2 In 3.15
3 Li 0.5084 0.5084 0.4418  7 In 3.02-3.12, 1 Sc 3.36
4 Sc 0.7405 0.7405 0.8097  7 In 3.03-3.13, 1 Li 3.36

***

# 3
A geometry-optimized Li4ScIn5 structure, computed with PBE-GGA.

Raw total energy: -30.75 eV for the cell shown
ΔH_f (0 K): -307 meV/atom

abc: 3.4707 3.4707 16.6917
angles: 90.00 90.00 90.00
Last column: nearest neighbours and their distance in Å.
Atoms (fractional coordinates):
1 Li 0.0000 0.0000 0.2106  8 In 2.93, 1 Li 3.23
2 Li 0.0000 0.0000 0.4040  8 In 2.93-2.94, 2 Li 3.20-3.23
3 Li 0.0000 0.0000 0.5960  8 In 2.93-2.94, 2 Li 3.20-3.23
4 Li 0.0000 0.0000 0.7894  8 In 2.93, 1 Li 3.23
5 Sc 0.0000 0.0000 0.0000  8 In 3.11, 4 Sc 3.47
6 In 0.5000 0.5000 0.1149  4 Li 2.93, 4 Sc 3.11, 1 In 3.21
7 In 0.5000 0.5000 0.3070  8 Li 2.93-2.94, 2 In 3.21-3.22
8 In 0.5000 0.5000 0.5000  8 Li 2.93, 2 In 3.22
9 In 0.5000 0.5000 0.6930  8 Li 2.93-2.94, 2 In 3.21-3.22
10 In 0.5000 0.5000 0.8851  4 Li 2.93, 4 Sc 3.11, 1 In 3.21

***

# 4
A geometry-optimized LiSc2In3 structure, computed with PBE-GGA.

Raw total energy: -25.14 eV for the cell shown
ΔH_f (0 K): -392 meV/atom

abc: 3.3450 3.3450 11.4295
angles: 90.00 90.00 90.00
Last column: nearest neighbours and their distance in Å.
Atoms (fractional coordinates):
1 Li 0.5000 0.5000 0.5000  8 In 2.86
2 Sc 0.5000 0.5000 0.8197  8 In 3.12-3.14, 4 Sc 3.34
3 Sc 0.5000 0.5000 0.1803  8 In 3.12-3.14, 4 Sc 3.34
4 In 0.0000 0.0000 0.0000  8 Sc 3.14, 4 In 3.34
5 In 0.0000 0.0000 0.6411  4 Li 2.86, 4 Sc 3.12
6 In 0.0000 0.0000 0.3589  4 Li 2.86, 4 Sc 3.12